Entry from the Alexandria database: an optimized crystal structure of PuGeAu (GGA-PBE).

Calculated values
Formation enthalpy at 0 K   -0.49 eV per atom

Cell lengths 4.592, 14.087, 7.932 Å; angles 90.00, 90.00, 90.00 degrees
Fractional coordinates of all 24 atoms:
1 Pu 0.250 0.002 0.219
2 Pu 0.250 0.250 0.293
3 Pu 0.250 0.498 0.219
4 Pu 0.250 0.750 0.294
5 Pu 0.750 0.250 0.706
6 Pu 0.750 0.502 0.781
7 Pu 0.750 0.750 0.707
8 Pu 0.750 0.998 0.781
9 Ge 0.250 0.152 0.911
10 Ge 0.250 0.348 0.911
11 Ge 0.250 0.608 0.592
12 Ge 0.250 0.892 0.592
13 Ge 0.750 0.108 0.408
14 Ge 0.750 0.392 0.408
15 Ge 0.750 0.652 0.089
16 Ge 0.750 0.848 0.089
17 Au 0.250 0.099 0.585
18 Au 0.250 0.401 0.585
19 Au 0.250 0.642 0.922
20 Au 0.250 0.858 0.922
21 Au 0.750 0.142 0.078
22 Au 0.750 0.358 0.078
23 Au 0.750 0.599 0.415
24 Au 0.750 0.901 0.415

***

Entry from the Alexandria database: an optimized crystal structure of TaNbTlTe2 (GGA-PBE).

Calculated values
Formation energy from raw total energies   2.073 eV per atom

Cell lengths 5.531, 5.531, 5.246 Å; angles 90.00, 90.00, 90.00 degrees
Fractional coordinates of all 5 atoms:
1 Ta 0.000 0.000 0.000
2 Nb 0.500 0.500 0.000
3 Tl 0.500 0.500 0.500
4 Te 0.000 0.500 0.500
5 Te 0.500 0.000 0.500

***

Entry from the Alexandria database: an optimized crystal structure of MnCoP2 (GGA-PBE).

Calculated values
Offset from the most stable computed form   558 meV/atom
Formation enthalpy at 0 K   -0.05 eV per atom

Cell lengths 2.774, 2.774, 7.032 Å; angles 90.00, 90.00, 90.00 degrees
Fractional coordinates of all 4 atoms:
1 Mn 0.000 0.000 0.000
2 Co 0.500 0.500 0.758
3 P 0.000 0.000 0.587
4 P 0.500 0.500 0.174

***

Entry from the Alexandria database: an optimized crystal structure of Tb5NdSm2Er (GGA-PBE).

Calculated values
Formation enthalpy at 0 K   0.28 eV per atom

Cell lengths 9.880, 9.880, 9.880 Å; angles 127.17, 127.17, 77.98 degrees
Fractional coordinates of all 18 atoms:
1 Tb 0.000 0.000 0.000
2 Tb 0.072 0.572 0.917
3 Tb 0.155 0.072 0.500
4 Tb 0.345 0.845 0.917
5 Tb 0.428 0.345 0.500
6 Tb 0.500 0.500 0.000
7 Tb 0.572 0.655 0.500
8 Tb 0.655 0.155 0.083
9 Tb 0.845 0.928 0.500
10 Tb 0.928 0.428 0.083
11 Nd 0.250 0.250 0.000
12 Nd 0.750 0.750 0.000
13 Sm 0.116 0.384 0.500
14 Sm 0.384 0.884 0.268
15 Sm 0.616 0.116 0.732
16 Sm 0.884 0.616 0.500
17 Er 0.250 0.750 0.500
18 Er 0.750 0.250 0.500

***

Entry from the Alexandria database: an optimized crystal structure of ScTl2Mo (GGA-PBE).

Calculated values
Offset from the most stable computed form   106 meV/atom
Formation enthalpy at 0 K   0.36 eV per atom

Cell lengths 4.921, 4.921, 4.921 Å; angles 60.00, 60.00, 60.00 degrees
Fractional coordinates of all 4 atoms:
1 Sc 0.000 0.000 0.000
2 Tl 0.250 0.250 0.250
3 Tl 0.750 0.750 0.750
4 Mo 0.500 0.500 0.500

***

Entry from the Alexandria database: an optimized crystal structure of TiZnS2N (GGA-PBE).

Calculated values
Offset from the most stable computed form   0 meV/atom
Formation energy from raw total energies   -0.050 eV per atom

Cell lengths 4.828, 4.828, 3.796 Å; angles 90.00, 90.00, 90.00 degrees
Fractional coordinates of all 5 atoms:
1 Ti 0.000 0.000 0.000
2 Zn 0.500 0.500 0.500
3 S 0.000 0.500 0.000
4 S 0.500 0.000 0.000
5 N 0.000 0.000 0.500

***

Entry from the Alexandria database: an optimized crystal structure of HfZn4Pd7 (GGA-PBE).

Calculated values
Formation enthalpy at 0 K   -0.28 eV per atom

Cell lengths 6.098, 6.098, 8.922 Å; angles 120.19, 120.19, 46.34 degrees
Fractional coordinates of all 12 atoms:
1 Hf 0.000 0.000 0.000
2 Zn 0.281 0.281 0.668
3 Zn 0.431 0.431 0.229
4 Zn 0.569 0.569 0.771
5 Zn 0.719 0.719 0.332
6 Pd 0.067 0.067 0.337
7 Pd 0.217 0.217 0.901
8 Pd 0.348 0.348 0.435
9 Pd 0.500 0.500 0.000
10 Pd 0.652 0.652 0.565
11 Pd 0.783 0.783 0.099
12 Pd 0.933 0.933 0.663

***

Entry from the Alexandria database: an optimized crystal structure of ScGa3CoNi (GGA-PBE).

Calculated values
Formation enthalpy at 0 K   -0.28 eV per atom

Cell lengths 6.385, 6.385, 5.071 Å; angles 90.00, 90.00, 102.25 degrees
Fractional coordinates of all 12 atoms:
1 Sc 0.189 0.811 0.750
2 Sc 0.811 0.189 0.250
3 Ga 0.244 0.244 0.000
4 Ga 0.244 0.244 0.500
5 Ga 0.314 0.686 0.250
6 Ga 0.686 0.314 0.750
7 Ga 0.756 0.756 0.000
8 Ga 0.756 0.756 0.500
9 Co 0.076 0.924 0.250
10 Co 0.924 0.076 0.750
11 Ni 0.446 0.554 0.750
12 Ni 0.554 0.446 0.250

***

Entry from the Alexandria database: an optimized crystal structure of TmSbPd (GGA-PBE).

Calculated values
Formation energy from raw total energies   -1.106 eV per atom

Cell lengths 4.629, 4.629, 4.629 Å; angles 60.00, 60.00, 60.00 degrees
Fractional coordinates of all 3 atoms:
1 Tm 0.000 0.000 0.000
2 Sb 0.500 0.500 0.500
3 Pd 0.750 0.750 0.750

***

Entry from the Alexandria database: an optimized crystal structure of KMg3Bi3 (GGA-PBE).

Calculated values
Offset from the most stable computed form   0 meV/atom
Formation enthalpy at 0 K   -0.19 eV per atom

Cell lengths 10.361, 10.361, 10.361 Å; angles 43.74, 43.74, 43.74 degrees
Fractional coordinates of all 14 atoms:
1 K 0.176 0.176 0.176
2 K 0.824 0.824 0.824
3 Mg 0.058 0.580 0.271
4 Mg 0.271 0.058 0.580
5 Mg 0.420 0.729 0.942
6 Mg 0.580 0.271 0.058
7 Mg 0.729 0.942 0.420
8 Mg 0.942 0.420 0.729
9 Bi 0.164 0.709 0.363
10 Bi 0.291 0.637 0.836
11 Bi 0.363 0.164 0.709
12 Bi 0.637 0.836 0.291
13 Bi 0.709 0.363 0.164
14 Bi 0.836 0.291 0.637

***

Entry from the Alexandria database: an optimized crystal structure of TbZn9Au2 (GGA-PBE).

Calculated values
Offset from the most stable computed form   97 meV/atom
Formation enthalpy at 0 K   -0.18 eV per atom

Cell lengths 8.743, 8.743, 3.126 Å; angles 90.00, 90.00, 120.00 degrees
Fractional coordinates of all 12 atoms:
1 Tb 0.000 0.000 0.000
2 Zn 0.000 0.500 0.000
3 Zn 0.181 0.362 0.500
4 Zn 0.181 0.819 0.500
5 Zn 0.362 0.181 0.500
6 Zn 0.500 0.000 0.000
7 Zn 0.500 0.500 0.000
8 Zn 0.638 0.819 0.500
9 Zn 0.819 0.181 0.500
10 Zn 0.819 0.638 0.500
11 Au 0.333 0.667 0.000
12 Au 0.667 0.333 0.000

***

Result set for density of states at the Fermi level: 3.316, 1.464, 0.769, 1.230, 1.041, 0.542, 0.385, 0.476, 0.040, 0.369, 0.172 states/eV/atom, one per record in the order listed.